Density functional theory data (GGA-PBE) for an optimized crystal structure of SiPPb2.

Cell: 4.0428 3.4595 7.3889 Å, 90.00 105.69 90.00°
With the nearest neighbours (Å) after each atom.
Space group Pm (No. 6)
Asymmetric unit:
Si (0.0000, 0.0000, 0.0000) x1  2 P 2.30
P (0.8945, 0.5000, 0.7863) x1  2 Si 2.30
Pb (0.2814, 0.0000, 0.5640) x1  4 P 3.09-3.10
Pb (0.6098, 0.5000, 0.2187) x1  4 Si 3.08-3.09

energy above the most stable polymorph in this dataset	0.146	eV per atom
crystal system	monoclinic
E_form (uncorrected)	209	meV/atom

=====

Density functional theory data (GGA-PBE) for an optimized crystal structure of CaNiMo2.

Cell: 4.6239 4.6239 17.6106 Å, 90.00 90.00 90.00°
With the nearest neighbours (Å) after each atom.
Space group I-42d (No. 122)
Asymmetric unit:
Ca (0.0000, 0.0000, 0.0000) x4  4 Ni 3.27, 8 Mo 3.33-3.46
Ni (0.0000, 0.0000, 0.5000) x4  4 Mo 2.49
Mo (0.0217, 0.7500, 0.6250) x8  2 Mo 2.32, 2 Ni 2.49

energy above the most stable polymorph in this dataset	0.694	eV per atom
E_form	1018	meV per atom
crystal system	tetragonal

=====

Density functional theory data (GGA-PBE) for an optimized crystal structure of In2NiPbI.

Cell: 5.1750 5.1750 5.2356 Å, 90.00 90.00 90.00°
With the nearest neighbours (Å) after each atom.
Space group P4/mmm (No. 123)
Asymmetric unit:
In (0.0000, 0.5000, 0.0000) x2  2 Ni 2.59
Ni (0.0000, 0.0000, 0.0000) x1  4 In 2.59, 2 Pb 2.62
Pb (0.0000, 0.0000, 0.5000) x1  2 Ni 2.62
I (0.5000, 0.5000, 0.5000) x1  4 Pb 3.66, 8 In 3.68

crystal system	tetragonal
E_form (uncorrected)	-142	meV/atom

=====

Density functional theory data (GGA-PBE) for an optimized crystal structure of GaAs3Ru.

Cell: 4.7094 4.7094 4.7094 Å, 90.00 90.00 90.00°
With the nearest neighbours (Å) after each atom.
Space group Pm-3m (No. 221)
Asymmetric unit:
Ga (0.0000, 0.0000, 0.0000) x1  6 As 2.35
As (0.0000, 0.0000, 0.5000) x3  2 Ga 2.35
Ru (0.5000, 0.5000, 0.5000) x1  12 As 3.33

energy above the most stable polymorph in this dataset	0.777	eV per atom
E_form	1247	meV per atom
crystal system	cubic

=====

Density functional theory data (GGA-PBE) for an optimized crystal structure of CeBeRhC.

Cell: 3.7763 3.7763 8.1690 Å, 90.00 90.00 90.00°
With the nearest neighbours (Å) after each atom.
Space group P4/nmm (No. 129, origin choice 2)
Asymmetric unit:
Ce (0.2500, 0.2500, 0.1623) x2  1 C 2.35
Be (0.2500, 0.2500, 0.6637) x2  1 C 1.72
Rh (0.2500, 0.7500, 0.5000) x2  4 Be 2.31
C (0.2500, 0.2500, 0.8746) x2  1 Be 1.72

E_form	-328	meV per atom
crystal system	tetragonal

=====

Density functional theory data (GGA-PBE) for an optimized crystal structure of Pm2Er2Hg.

Cell: 7.6137 9.7664 9.2007 Å, 90.00 114.42 90.00°
With the nearest neighbours (Å) after each atom.
Space group C2/m (No. 12)
Asymmetric unit:
Pm (0.1016, 0.2030, 0.2024) x8  2 Hg 3.17, 3 Er 3.38-3.48, 1 Pm 3.39
Er (0.1980, 0.5000, 0.0003) x4  1 Er 3.01
Er (0.2045, 0.5000, 0.4096) x4  4 Hg 3.19, 2 Pm 3.38
Hg (0.0000, 0.2495, 0.5000) x4  4 Pm 3.17, 4 Er 3.19

energy above the most stable polymorph in this dataset	0.079	eV per atom
E_form	-102	meV per atom
crystal system	monoclinic

=====

The following size of the total moment values (in μB per atom) correspond, in order, to the records above: 0.00 0.00 0.00 0.26 0.00 0.00.